No. 1
BaZrTc3 | SCAN | single point on PBEsol structure

The value obtained for the density of states at the Fermi level is 4.07 states/eV/f.u. The value obtained for the total DFT energy (no corrections) is -1.2368 hartree per atom. The formation enthalpy at 0 K comes out at 1.430 eV per atom. Its symmetry is Pm-3m (221).

abc: 4.8956 4.8956 4.8956
angles: 90.00 90.00 90.00
Atoms (fractional coordinates):
Ba 0.5000 0.5000 0.5000
Zr 0.0000 0.0000 0.0000
Tc 0.0000 0.5000 0.0000
Tc 0.0000 0.0000 0.5000
Tc 0.5000 0.0000 0.0000

---

No. 2
Ba2ZrTc | SCAN | single point on PBEsol structure

The value obtained for the density of states at the Fermi level is 3.31 states/eV/f.u. The value obtained for the total DFT energy (no corrections) is -1.2930 hartree per atom. The value obtained for the excess energy over the best structure of this formula in the dataset is 0 meV per atom. The formation enthalpy at 0 K comes out at 1.030 eV per atom. Its symmetry is I4/mmm (139).

abc: 4.3257 4.3257 6.3864
angles: 109.80 109.80 90.00
Atoms (fractional coordinates):
Ba 0.7500 0.2500 0.5000
Ba 0.2500 0.7500 0.5000
Tc 0.5000 0.5000 0.0000
Zr 0.0000 0.0000 0.0000

---

No. 3
BaZrTc2 | SCAN | single point on PBEsol structure

The value obtained for the density of states at the Fermi level is 3.84 states/eV/f.u. The value obtained for the total DFT energy (no corrections) is -1.2644 hartree per atom. The value obtained for the excess energy over the best structure of this formula in the dataset is 0 meV per atom. The formation enthalpy at 0 K comes out at 0.687 eV per atom. Its symmetry is Cmmm (65).

abc: 3.0366 3.0366 9.3893
angles: 90.00 90.00 113.36
Atoms (fractional coordinates):
Ba 0.5000 0.5000 0.0000
Tc 0.0000 0.0000 0.2804
Tc 0.0000 0.0000 0.7196
Zr 0.5000 0.5000 0.5000